A relaxed structure of BeTc2Ge4, computed with PBE.

The structure belongs to space group I4/mmm (No. 139); the cell edges are 4.575, 4.575 and 12.062 Å and the angles 90.00°, 90.00° and 90.00°. Symmetry generates all atoms from Be at (0.000, 0.000, 0.000), Tc at (0.000, 0.000, 0.392), Ge at (0.000, 0.000, 0.187) and Ge at (0.000, 0.500, 0.000).

Its calculated density is 6.52 Mg/m³. The value obtained for the magnetic moment is 4.7 Bohr magnetons per cell. For the energy, the calculation gives -75.67 eV per cell.